# 1
# Sr2In2I7, optimized geometry, DFT PBE-GGA
# Raw formation energy   -1110 kJ/mol of formula units
# Total energy   -62.4 eV/cell
# Relative energy among the computed polymorphs   6 meV per atom
data_Sr2In2I7
_chemical_formula_sum 'Sr4 In4 I14'
_cell_length_a 4.620
_cell_length_b 17.904
_cell_length_c 10.581
_cell_angle_alpha 90.00
_cell_angle_beta 90.00
_cell_angle_gamma 90.00
_symmetry_space_group_name_H-M 'I m m 2'
_symmetry_Int_Tables_number 44
_symmetry_space_group_name_Hall 'I 2 -2'
loop_
_atom_site_label
_atom_site_fract_x
_atom_site_fract_y
_atom_site_fract_z
Sr1 0.000 0.000 0.000
Sr2 0.000 0.500 0.046
In1 0.000 0.238 0.235
I1 0.000 0.000 0.327
I2 0.000 0.105 0.720
I3 0.000 0.308 0.942
I4 0.000 0.372 0.549

=====

# 2
# SrInI2, optimized geometry, DFT PBE-GGA
# Raw formation energy   -321 kJ/mol of formula units
# Total energy   -43.4 eV/cell
# Relative energy among the computed polymorphs   0 meV per atom
data_SrInI2
_chemical_formula_sum 'Sr4 In4 I8'
_cell_length_a 8.361
_cell_length_b 8.361
_cell_length_c 8.361
_cell_angle_alpha 90.00
_cell_angle_beta 90.00
_cell_angle_gamma 90.00
_symmetry_space_group_name_H-M 'F m -3 m'
_symmetry_Int_Tables_number 225
_symmetry_space_group_name_Hall '-F 4 2 3'
loop_
_atom_site_label
_atom_site_fract_x
_atom_site_fract_y
_atom_site_fract_z
Sr1 0.000 0.000 0.000
In1 0.000 0.000 0.500
I1 0.250 0.250 0.250

=====

Question: total energy of number 2 (SrInI2)?
Answer: -43.4 eV/cell

=====

Question: Which of these has the highest relative energy among the computed polymorphs?
Answer: Sr2In2I7

=====

Question: Among the records above, which one has the lowest relative energy among the computed polymorphs?
Answer: SrInI2